{"formula": "TaCoB2", "functional": "PBE-GGA", "state": "relaxed", "lattice": [[5.528, 0.000, 0.000], [0.000, 5.528, 0.000], [0.000, 0.000, 5.528]], "species": ["Ta", "Ta", "Ta", "Ta", "Co", "Co", "Co", "Co", "B", "B", "B", "B", "B", "B", "B", "B"], "fractional_positions": [[0.000, 0.000, 0.000], [0.000, 0.500, 0.500], [0.500, 0.000, 0.500], [0.500, 0.500, 0.000], [0.250, 0.250, 0.250], [0.250, 0.750, 0.750], [0.750, 0.250, 0.750], [0.750, 0.750, 0.250], [0.000, 0.000, 0.500], [0.000, 0.500, 0.000], [0.250, 0.250, 0.750], [0.250, 0.750, 0.250], [0.500, 0.000, 0.000], [0.500, 0.500, 0.500], [0.750, 0.250, 0.250], [0.750, 0.750, 0.750]], "crystal_system": "cubic"}


{"formula": "ReAgBi2", "functional": "PBE-GGA", "state": "relaxed", "lattice": [[7.099, 0.000, 0.000], [0.000, 7.099, 0.000], [0.000, 0.000, 7.099]], "species": ["Re", "Re", "Re", "Re", "Ag", "Ag", "Ag", "Ag", "Bi", "Bi", "Bi", "Bi", "Bi", "Bi", "Bi", "Bi"], "fractional_positions": [[0.000, 0.000, 0.000], [0.000, 0.500, 0.500], [0.500, 0.000, 0.500], [0.500, 0.500, 0.000], [0.250, 0.250, 0.250], [0.250, 0.750, 0.750], [0.750, 0.250, 0.750], [0.750, 0.750, 0.250], [0.000, 0.000, 0.500], [0.000, 0.500, 0.000], [0.250, 0.250, 0.750], [0.250, 0.750, 0.250], [0.500, 0.000, 0.000], [0.500, 0.500, 0.500], [0.750, 0.250, 0.250], [0.750, 0.750, 0.750]], "crystal_system": "cubic"}


{"formula": "LaCdInTe3", "functional": "PBE-GGA", "state": "relaxed", "lattice": [[15.224, 0.000, 0.000], [0.000, 4.604, 0.000], [0.000, 0.000, 12.313]], "species": ["La", "La", "La", "La", "Cd", "Cd", "Cd", "Cd", "In", "In", "In", "In", "Te", "Te", "Te", "Te", "Te", "Te", "Te", "Te", "Te", "Te", "Te", "Te"], "fractional_positions": [[0.028, 0.250, 0.160], [0.472, 0.750, 0.660], [0.528, 0.250, 0.340], [0.972, 0.750, 0.840], [0.020, 0.750, 0.398], [0.480, 0.250, 0.898], [0.520, 0.750, 0.102], [0.980, 0.250, 0.602], [0.240, 0.250, 0.456], [0.260, 0.750, 0.956], [0.740, 0.250, 0.044], [0.760, 0.750, 0.544], [0.097, 0.750, 0.617], [0.107, 0.250, 0.920], [0.160, 0.750, 0.244], [0.340, 0.250, 0.744], [0.393, 0.750, 0.420], [0.403, 0.250, 0.117], [0.597, 0.750, 0.883], [0.607, 0.250, 0.580], [0.660, 0.750, 0.256], [0.840, 0.250, 0.756], [0.893, 0.750, 0.080], [0.903, 0.250, 0.383]], "e_above_lowest_polymorph_mev_per_atom": 15.2, "crystal_system": "orthorhombic"}


{"formula": "PaNi3", "functional": "PBE-GGA", "state": "relaxed", "lattice": [[5.349, 0.000, 0.000], [-2.674, 4.632, 0.000], [0.000, 0.000, 4.624]], "species": ["Pa", "Pa", "Ni", "Ni", "Ni", "Ni", "Ni", "Ni"], "fractional_positions": [[0.333, 0.667, 0.250], [0.667, 0.333, 0.750], [0.158, 0.316, 0.750], [0.158, 0.842, 0.750], [0.316, 0.158, 0.250], [0.684, 0.842, 0.750], [0.842, 0.158, 0.250], [0.842, 0.684, 0.250]], "e_above_lowest_polymorph_mev_per_atom": 2.1, "formation_energy_ev_per_atom": -0.43, "crystal_system": "hexagonal"}


no.,electronic total energy (eV per atom)
1,-7.423
2,-4.725
3,-3.817
4,-6.975